1.
# NaEr5S6

A relaxed NaEr5S6 crystal (PBE-GGA, Alexandria).

```
NaEr5S6
1.0
3.3575 -5.8077 0.0000
3.3575 5.8077 0.0000
-2.2391 0.0000 6.3522
Na Er S
1 5 6
direct
0.0000 0.0000 0.0000
0.1628 0.8372 0.5000
0.3345 0.6655 0.0000
0.5000 0.5000 0.5000
0.6655 0.3345 0.0000
0.8372 0.1628 0.5000
0.0838 0.4199 0.2531
0.2513 0.2513 0.7529
0.4199 0.0838 0.2531
0.5801 0.9162 0.7469
0.7487 0.7487 0.2471
0.9162 0.5801 0.7469
```

Properties
SG = C2/m
crystal system = monoclinic

2.
# NaEr4S5

A relaxed NaEr4S5 crystal (PBE-GGA, Alexandria).

```
NaEr4S5
1.0
-1.9441 2.7334 9.7749
1.9441 -2.7334 9.7749
1.9441 2.7334 -9.7749
Na Er S
1 4 5
direct
0.0000 0.0000 0.0000
0.2041 0.2041 0.0000
0.3991 0.3991 0.0000
0.6009 0.6009 0.0000
0.7959 0.7959 0.0000
0.1046 0.6046 0.5000
0.3015 0.8015 0.5000
0.5000 0.0000 0.5000
0.6985 0.1985 0.5000
0.8954 0.3954 0.5000
```

Properties
SG = Immm
crystal system = orthorhombic

3.
# NaEr2S

A relaxed NaEr2S crystal (PBE-GGA, Alexandria).

```
NaEr2S
1.0
1.8310 1.0571 10.1836
-1.8310 1.0571 10.1836
0.0000 -2.1142 10.1836
Na Er S
1 2 1
direct
0.0000 0.0000 0.0000
0.1135 0.1135 0.1135
0.8865 0.8865 0.8865
0.5000 0.5000 0.5000
```

Properties
SG = R-3m
crystal system = trigonal

Energy relative to the elements, uncorrected: -23.04 -19.17 -2.91 (eV per formula unit)